Entry 1:
Below is a relaxed structure of Li2PbW, with properties calculated at the PBE-GGA level.

Properties
DFT total energy, eV/atom: -4.484
Total magnetization, μB/cell: 2.16

Unit cell a=4.668 b=4.668 c=4.668 alpha=60.00 beta=60.00 gamma=60.00
Sites, in units of the cell vectors:
Li 0.000 0.000 0.000
Li 0.250 0.250 0.250
Pb 0.500 0.500 0.500
W 0.750 0.750 0.750

***

Entry 2:
Below is a relaxed structure of NaSmHgSe3, with properties calculated at the PBE-GGA level.

Properties
DFT total energy, eV/atom: -3.908
Total magnetization, μB/cell: 0.01

Unit cell a=11.247 b=4.219 c=13.896 alpha=90.00 beta=90.00 gamma=90.00
Sites, in units of the cell vectors:
Na 0.218 0.250 0.007
Na 0.282 0.750 0.507
Na 0.718 0.250 0.493
Na 0.782 0.750 0.993
Sm 0.013 0.750 0.742
Sm 0.487 0.250 0.242
Sm 0.513 0.750 0.758
Sm 0.987 0.250 0.258
Hg 0.238 0.750 0.216
Hg 0.262 0.250 0.716
Hg 0.738 0.750 0.284
Hg 0.762 0.250 0.784
Se 0.039 0.750 0.114
Se 0.075 0.250 0.603
Se 0.237 0.250 0.341
Se 0.263 0.750 0.841
Se 0.425 0.750 0.103
Se 0.461 0.250 0.614
Se 0.539 0.750 0.386
Se 0.575 0.250 0.897
Se 0.737 0.250 0.159
Se 0.763 0.750 0.659
Se 0.925 0.750 0.397
Se 0.961 0.250 0.886